[1]
CdAs2Ru | PBE | relaxed

Unit cell a=4.649 b=4.649 c=3.353 alpha=90.00 beta=90.00 gamma=103.54
Fractional coordinates of all 4 atoms:
1 Cd 0.000 0.000 0.000
2 As 0.000 0.500 0.500
3 As 0.500 0.000 0.500
4 Ru 0.500 0.500 0.000

- theoretical density (g/cm3) = 8.6
- energy (eV per cell) = -18.2
- E_form (eV/atom) = 0.335
- symmetry = No. 65

[2]
PaTiN3 | PBE | relaxed

Unit cell a=6.493 b=6.493 c=3.769 alpha=90.00 beta=90.00 gamma=130.96
Fractional coordinates of all 10 atoms:
1 Pa 0.157 0.843 0.000
2 Pa 0.843 0.157 0.000
3 Ti 0.385 0.615 0.500
4 Ti 0.615 0.385 0.500
5 N 0.000 0.500 0.500
6 N 0.229 0.229 0.500
7 N 0.344 0.656 0.000
8 N 0.500 0.000 0.500
9 N 0.656 0.344 0.000
10 N 0.771 0.771 0.500

- theoretical density (g/cm3) = 8.9
- energy (eV per cell) = -96.0
- E_form (uncorrected) (eV per atom) = -1.125
- symmetry = No. 65